1.
# SrCdSb3 | Alexandria via LeMat-Bulk | PBE-GGA | relaxed
# E_form (uncorrected): 0.5 eV/f.u.
# DOS at the Fermi energy: 3.99 states/eV/cell
# Offset from the most stable computed form: 0.0 meV per atom
data_SrCdSb3
_chemical_formula_sum 'Sr1 Cd1 Sb3'
_cell_length_a 5.587
_cell_length_b 5.587
_cell_length_c 5.587
_cell_angle_alpha 90.00
_cell_angle_beta 90.00
_cell_angle_gamma 90.00
_space_group_name_H-M_alt 'P m -3 m'
_space_group_IT_number 221
_space_group_name_Hall '-P 4 2 3'
loop_
_atom_site_label
_atom_site_type_symbol
_atom_site_fract_x
_atom_site_fract_y
_atom_site_fract_z
Sr1 Sr 0.000 0.000 0.000
Cd1 Cd 0.500 0.500 0.500
Sb1 Sb 0.000 0.500 0.500

***

2.
# Li3Nd2NpTe6 | Alexandria via LeMat-Bulk | PBE-GGA | relaxed
# E_form (uncorrected): -13.4 eV/f.u.
# DOS at the Fermi energy: 14.20 states/eV/cell
data_Li3Nd2NpTe6
_chemical_formula_sum 'Li6 Nd4 Np2 Te12'
_cell_length_a 7.705
_cell_length_b 13.323
_cell_length_c 7.528
_cell_angle_alpha 90.00
_cell_angle_beta 109.85
_cell_angle_gamma 90.00
_space_group_name_H-M_alt 'C 1 2/m 1'
_space_group_IT_number 12
loop_
_space_group_symop_operation_xyz
'x,y,z'
'-x,-y,-z'
'-x,y,-z'
'x,-y,z'
'x+1/2,y+1/2,z'
'-x+1/2,-y+1/2,-z'
'-x+1/2,y+1/2,-z'
'x+1/2,-y+1/2,z'
loop_
_atom_site_label
_atom_site_type_symbol
_atom_site_fract_x
_atom_site_fract_y
_atom_site_fract_z
Li1 Li 0.000 0.000 0.000
Li2 Li 0.000 0.331 0.000
Nd1 Nd 0.000 0.166 0.500
Np1 Np 0.000 0.500 0.500
Te1 Te 0.242 0.500 0.239
Te2 Te 0.248 0.165 0.239

***

3.
# HRhO2 | Alexandria via LeMat-Bulk | PBE-GGA | relaxed
# Raw total energy: -19.0 eV/f.u.
# DOS at the Fermi energy: 11.90 states/eV/cell
data_HRhO2
_chemical_formula_sum 'H4 Rh4 O8'
_cell_length_a 5.118
_cell_length_b 5.118
_cell_length_c 4.975
_cell_angle_alpha 90.00
_cell_angle_beta 90.00
_cell_angle_gamma 90.00
_space_group_name_H-M_alt 'I 4/m c m'
_space_group_IT_number 140
_space_group_name_Hall '-I 4 2c'
loop_
_atom_site_label
_atom_site_type_symbol
_atom_site_fract_x
_atom_site_fract_y
_atom_site_fract_z
H1 H 0.000 0.500 0.250
Rh1 Rh 0.000 0.000 0.250
O1 O 0.173 0.327 0.000

***

4.
# HfMgTe3 | Alexandria via LeMat-Bulk | PBE-GGA | relaxed
# E_form (uncorrected): -3.7 eV/f.u.
# DOS at the Fermi energy: 0.51 states/eV/cell
# Offset from the most stable computed form: 0.0 meV per atom
data_HfMgTe3
_chemical_formula_sum 'Hf2 Mg2 Te6'
_cell_length_a 7.848
_cell_length_b 4.205
_cell_length_c 10.277
_cell_angle_alpha 90.00
_cell_angle_beta 94.49
_cell_angle_gamma 90.00
_space_group_name_H-M_alt 'P 1 21/m 1'
_space_group_IT_number 11
loop_
_space_group_symop_operation_xyz
'x,y,z'
'-x,-y,-z'
'-x,y+1/2,-z'
'x,-y+1/2,z'
loop_
_atom_site_label
_atom_site_type_symbol
_atom_site_fract_x
_atom_site_fract_y
_atom_site_fract_z
Hf1 Hf 0.074 0.250 0.160
Mg1 Mg 0.378 0.250 0.603
Te1 Te 0.041 0.250 0.676
Te2 Te 0.232 0.750 0.010
Te3 Te 0.402 0.250 0.327

***

5.
# RbCaGa2I8 | Alexandria via LeMat-Bulk | PBE-GGA | relaxed
# E_form (uncorrected): -10.1 eV/f.u.
# DOS at the Fermi energy: 22.42 states/eV/cell
data_RbCaGa2I8
_chemical_formula_sum 'Rb3 Ca3 Ga6 I24'
_cell_length_a 7.5456
_cell_length_b 7.5456
_cell_length_c 32.7849
_cell_angle_alpha 90.00
_cell_angle_beta 90.00
_cell_angle_gamma 120.00
_space_group_name_H-M_alt 'R -3'
_space_group_IT_number 148
_space_group_name_Hall '-R 3'
loop_
_atom_site_label
_atom_site_type_symbol
_atom_site_fract_x
_atom_site_fract_y
_atom_site_fract_z
Rb1 Rb 0.0000 0.0000 0.0000
Ca1 Ca 0.0000 0.0000 0.5000
Ga1 Ga 0.0000 0.0000 0.2480
I1 I 0.0000 0.0000 0.3282
I2 I 0.0055 0.3213 0.1093

***

6.
# LaCr2Co | Alexandria via LeMat-Bulk | PBE-GGA | relaxed
# ΔE_f: 0.306 eV per atom
# DOS at the Fermi energy: 19.22 states/eV/cell
# Offset from the most stable computed form: 0.0 meV per atom
data_LaCr2Co
_chemical_formula_sum 'La3 Cr6 Co3'
_cell_length_a 4.1032
_cell_length_b 4.1032
_cell_length_c 15.7358
_cell_angle_alpha 90.00
_cell_angle_beta 90.00
_cell_angle_gamma 120.00
_space_group_name_H-M_alt 'R 3 m'
_space_group_IT_number 160
_space_group_name_Hall 'R 3 -2"'
loop_
_atom_site_label
_atom_site_type_symbol
_atom_site_fract_x
_atom_site_fract_y
_atom_site_fract_z
La1 La 0.0000 0.0000 0.0000
Cr1 Cr 0.0000 0.0000 0.2015
Cr2 Cr 0.0000 0.0000 0.4924
Co1 Co 0.0000 0.0000 0.8052

***

7.
# MgPtCl2 | Alexandria via LeMat-Bulk | PBE-GGA | relaxed
# E_form (uncorrected): -1.3 eV/f.u.
# DOS at the Fermi energy: 1.78 states/eV/cell
# Offset from the most stable computed form: 529.6 meV per atom
data_MgPtCl2
_chemical_formula_sum 'Mg2 Pt2 Cl4'
_cell_length_a 3.710
_cell_length_b 3.710
_cell_length_c 10.893
_cell_angle_alpha 90.00
_cell_angle_beta 90.00
_cell_angle_gamma 90.00
_space_group_name_H-M_alt 'I -4 m 2'
_space_group_IT_number 119
_space_group_name_Hall 'I -4 -2'
loop_
_atom_site_label
_atom_site_type_symbol
_atom_site_fract_x
_atom_site_fract_y
_atom_site_fract_z
Mg1 Mg 0.000 0.000 0.000
Pt1 Pt 0.000 0.500 0.750
Cl1 Cl 0.000 0.000 0.500
Cl2 Cl 0.000 0.500 0.250

***

8.
# TlZnGa | Alexandria via LeMat-Bulk | PBE-GGA | relaxed
# ΔE_f: 0.339 eV per atom
# DOS at the Fermi energy: 4.33 states/eV/cell
data_TlZnGa
_chemical_formula_sum 'Tl2 Zn2 Ga2'
_cell_length_a 4.3038
_cell_length_b 4.3038
_cell_length_c 11.2373
_cell_angle_alpha 90.00
_cell_angle_beta 90.00
_cell_angle_gamma 120.00
_space_group_name_H-M_alt 'P 63/m m c'
_space_group_IT_number 194
_space_group_name_Hall '-P 6c 2c'
loop_
_atom_site_label
_atom_site_type_symbol
_atom_site_fract_x
_atom_site_fract_y
_atom_site_fract_z
Tl1 Tl 0.0000 0.0000 0.0000
Zn1 Zn 0.3333 0.6667 0.2500
Ga1 Ga 0.0000 0.0000 0.2500

***

9.
# SnPb3Br6Cl2 | Alexandria via LeMat-Bulk | PBE-GGA | relaxed
# E_form (uncorrected): -11.1 eV/f.u.
# DOS at the Fermi energy: 0.00 states/eV/cell
data_SnPb3Br6Cl2
_chemical_formula_sum 'Sn2 Pb6 Br12 Cl4'
_cell_length_a 14.986
_cell_length_b 8.806
_cell_length_c 6.628
_cell_angle_alpha 90.00
_cell_angle_beta 93.08
_cell_angle_gamma 90.00
_space_group_name_H-M_alt 'C 1 2/m 1'
_space_group_IT_number 12
loop_
_space_group_symop_operation_xyz
'x,y,z'
'-x,-y,-z'
'-x,y,-z'
'x,-y,z'
'x+1/2,y+1/2,z'
'-x+1/2,-y+1/2,-z'
'-x+1/2,y+1/2,-z'
'x+1/2,-y+1/2,z'
loop_
_atom_site_label
_atom_site_type_symbol
_atom_site_fract_x
_atom_site_fract_y
_atom_site_fract_z
Sn1 Sn 0.000 0.000 0.000
Pb1 Pb 0.000 0.500 0.500
Pb2 Pb 0.250 0.250 0.000
Br1 Br 0.087 0.246 0.259
Br2 Br 0.160 0.000 0.745
Cl1 Cl 0.165 0.500 0.763

***

10.
# Na2SnIr | Alexandria via LeMat-Bulk | PBE-GGA | relaxed
# ΔE_f: 0.234 eV per atom
# DOS at the Fermi energy: 10.09 states/eV/cell
data_Na2SnIr
_chemical_formula_sum 'Na8 Sn4 Ir4'
_cell_length_a 3.927
_cell_length_b 3.927
_cell_length_c 21.973
_cell_angle_alpha 90.00
_cell_angle_beta 90.00
_cell_angle_gamma 90.00
_space_group_name_H-M_alt 'I -4 2 d'
_space_group_IT_number 122
_space_group_name_Hall 'I -4 2bw'
loop_
_atom_site_label
_atom_site_type_symbol
_atom_site_fract_x
_atom_site_fract_y
_atom_site_fract_z
Na1 Na 0.234 0.250 0.125
Sn1 Sn 0.000 0.000 0.500
Ir1 Ir 0.000 0.000 0.000

***

11.
# Cu3AsS | Alexandria via LeMat-Bulk | PBE-GGA | relaxed
# E_form (uncorrected): 2.0 eV/f.u.
# DOS at the Fermi energy: 5.22 states/eV/cell
# Offset from the most stable computed form: 436.3 meV per atom
data_Cu3AsS
_chemical_formula_sum 'Cu3 As1 S1'
_cell_length_a 4.389
_cell_length_b 4.389
_cell_length_c 4.389
_cell_angle_alpha 90.00
_cell_angle_beta 90.00
_cell_angle_gamma 90.00
_space_group_name_H-M_alt 'P m -3 m'
_space_group_IT_number 221
_space_group_name_Hall '-P 4 2 3'
loop_
_atom_site_label
_atom_site_type_symbol
_atom_site_fract_x
_atom_site_fract_y
_atom_site_fract_z
Cu1 Cu 0.000 0.000 0.500
As1 As 0.500 0.500 0.500
S1 S 0.000 0.000 0.000

***

12.
# HfVP2 | Alexandria via LeMat-Bulk | PBE-GGA | relaxed
# ΔE_f: -0.835 eV per atom
# DOS at the Fermi energy: 14.94 states/eV/cell
# Offset from the most stable computed form: 70.8 meV per atom
data_HfVP2
_chemical_formula_sum 'Hf3 V3 P6'
_cell_length_a 3.6587
_cell_length_b 3.6587
_cell_length_c 16.8603
_cell_angle_alpha 90.00
_cell_angle_beta 90.00
_cell_angle_gamma 120.00
_space_group_name_H-M_alt 'R -3 m'
_space_group_IT_number 166
_space_group_name_Hall '-R 3 2"'
loop_
_atom_site_label
_atom_site_type_symbol
_atom_site_fract_x
_atom_site_fract_y
_atom_site_fract_z
Hf1 Hf 0.0000 0.0000 0.0000
V1 V 0.0000 0.0000 0.5000
P1 P 0.0000 0.0000 0.2423

***

13.
# Ca4YPb | Alexandria via LeMat-Bulk | PBE-GGA | relaxed
# ΔE_f: 0.214 eV per atom
# DOS at the Fermi energy: 33.07 states/eV/cell
data_Ca4YPb
_chemical_formula_sum 'Ca16 Y4 Pb4'
_cell_length_a 9.618
_cell_length_b 9.618
_cell_length_c 9.618
_cell_angle_alpha 90.00
_cell_angle_beta 90.00
_cell_angle_gamma 90.00
_space_group_name_H-M_alt 'F -4 3 m'
_space_group_IT_number 216
_space_group_name_Hall 'F -4 2 3'
loop_
_atom_site_label
_atom_site_type_symbol
_atom_site_fract_x
_atom_site_fract_y
_atom_site_fract_z
Ca1 Ca 0.124 0.124 0.376
Y1 Y 0.250 0.250 0.750
Pb1 Pb 0.000 0.000 0.000